Record 1
First-principles (PBE) data for V3CdP after structural relaxation, as listed in Alexandria.

Summary:
Its space group is Pm-3m. The calculation puts the energy of formation from the pure elements at 1.86 eV/atom. The relative energy among the computed polymorphs comes out at 1665 meV/atom.

Lattice parameters (Å, degrees): 4.8776 4.8776 4.8776 90.00 90.00 90.00
Closest atoms and distances in Å follow each position.
Positions (direct):
V 0.0000 0.5000 0.0000  2 Cd 2.44
V 0.5000 0.0000 0.0000  2 Cd 2.44
Cd 0.0000 0.0000 0.0000  6 V 2.44
P 0.5000 0.5000 0.5000  12 V 3.45
V 0.0000 0.0000 0.5000  2 Cd 2.44

=====

Record 2
First-principles (PBE) data for P4Br after structural relaxation, as listed in Alexandria.

Summary:
The calculation puts the uncorrected formation energy at 1.8302 eV/atom. Its space group is Pm-3m. The relative energy among the computed polymorphs comes out at 1611 meV/atom.

Lattice parameters (Å, degrees): 4.8010 4.8010 4.8010 90.00 90.00 90.00
Closest atoms and distances in Å follow each position.
Positions (direct):
P 0.0000 0.0000 0.0000  12 P 3.39
P 0.0000 0.5000 0.5000  2 Br 2.40
P 0.5000 0.5000 0.0000  2 Br 2.40
P 0.5000 0.0000 0.5000  2 Br 2.40
Br 0.5000 0.5000 0.5000  6 P 2.40

=====

Record 3
First-principles (PBE) data for Zn8CuIr2 after structural relaxation, as listed in Alexandria.

Summary:
Its space group is Cmmm. The calculation puts the energy of formation from the pure elements at -0.10 eV/atom. The relative energy among the computed polymorphs comes out at 22 meV/atom.

Lattice parameters (Å, degrees): 4.1832 7.8217 6.4200 52.47 89.99 89.98
Closest atoms and distances in Å follow each position.
Positions (direct):
Cu 0.5000 0.0000 0.0000  4 Zn 2.46-2.57
Zn 0.9997 0.2994 0.7332  7 Zn 2.60-2.80, 2 Ir 2.61-2.77, 2 Cu 2.81
Ir 0.0000 0.6263 0.7474  6 Zn 2.48-2.77, 1 Ir 2.57
Zn 0.5000 0.7580 0.4839  1 Cu 2.46, 2 Ir 2.48, 4 Zn 2.70
Zn 0.0003 0.9673 0.7332  7 Zn 2.60-2.80, 2 Ir 2.61-2.77, 2 Cu 2.81
Zn 0.5001 0.6715 0.0000  1 Cu 2.57, 5 Zn 2.68-2.80, 4 Ir 2.80
Zn 0.0003 0.7006 0.2668  7 Zn 2.60-2.80, 2 Ir 2.61-2.77, 2 Cu 2.81
Ir 0.0000 0.3737 0.2526  6 Zn 2.48-2.77, 1 Ir 2.57
Zn 0.9997 0.0327 0.2668  7 Zn 2.60-2.80, 2 Ir 2.61-2.77, 2 Cu 2.81
Zn 0.4999 0.3285 0.0000  1 Cu 2.57, 5 Zn 2.68-2.80, 4 Ir 2.80
Zn 0.5000 0.2420 0.5161  1 Cu 2.46, 2 Ir 2.48, 4 Zn 2.70

=====

Record 4
First-principles (PBE) data for Ta2GaFeH after structural relaxation, as listed in Alexandria.

Summary:
Its space group is P4/mmm.

Lattice parameters (Å, degrees): 4.1128 4.1128 3.7965 90.00 90.00 90.00
Closest atoms and distances in Å follow each position.
Positions (direct):
Fe 0.0000 0.0000 0.5000  2 H 1.90
Ta 0.0000 0.5000 0.0000  2 H 2.06
Ta 0.5000 0.0000 0.0000  2 H 2.06
Ga 0.5000 0.5000 0.5000  8 Ta 2.80, 4 Fe 2.91
H 0.0000 0.0000 0.0000  2 Fe 1.90, 4 Ta 2.06

=====

Record 5
First-principles (PBE) data for La6Dy2Ho after structural relaxation, as listed in Alexandria.

Summary:
Its space group is Cmmm. The calculation puts the energy of formation from the pure elements at 0.12 eV/atom. The relative energy among the computed polymorphs comes out at 61 meV/atom.

Lattice parameters (Å, degrees): 3.6975 10.1328 10.1328 55.93 90.00 90.00
Closest atoms and distances in Å follow each position.
Positions (direct):
La 0.0000 0.8375 0.4943  4 La 3.26-3.50, 2 Dy 3.63
La 0.0000 0.5057 0.1625  4 La 3.26-3.50, 2 Dy 3.63
Ho 0.0000 0.0000 0.0000  4 La 3.57, 4 Dy 3.59, 2 Ho 3.70
Dy 0.5000 0.8281 0.8281  2 Ho 3.59, 8 La 3.63-3.81, 2 Dy 3.70
La 0.5000 0.3211 0.6789  7 La 3.40-3.70, 2 Ho 3.57
La 0.5000 0.6789 0.3211  7 La 3.40-3.70, 2 Ho 3.57
La 0.0000 0.4943 0.8375  4 La 3.26-3.50, 2 Dy 3.63
Dy 0.5000 0.1719 0.1719  2 Ho 3.59, 8 La 3.63-3.81, 2 Dy 3.70
La 0.0000 0.1625 0.5057  4 La 3.26-3.50, 2 Dy 3.63

=====

Record 6
First-principles (PBE) data for LiPrTlCl5 after structural relaxation, as listed in Alexandria.

Summary:
The calculation puts the uncorrected formation energy at -1.8437 eV/atom. Its space group is C2/c.

Lattice parameters (Å, degrees): 7.6381 7.6381 10.2902 103.65 103.65 107.44
Closest atoms and distances in Å follow each position.
Positions (direct):
Pr 0.0000 0.0000 0.5000  6 Cl 2.76-2.79
Cl 0.9177 0.3147 0.1238  1 Li 2.40
Cl 0.0880 0.9120 0.2500  2 Pr 2.79
Cl 0.0823 0.6853 0.8762  1 Li 2.40
Pr 0.0000 0.0000 0.0000  6 Cl 2.76-2.79
Cl 0.3829 0.2488 0.0759  1 Li 2.43
Cl 0.3147 0.9177 0.6238  1 Li 2.40
Cl 0.2488 0.3829 0.5759  1 Li 2.43
Li 0.3097 0.6903 0.7500  4 Cl 2.40-2.43
Tl 0.3578 0.6422 0.2500  5 Cl 3.20-3.32
Tl 0.6422 0.3578 0.7500  5 Cl 3.20-3.32
Cl 0.7512 0.6171 0.4241  1 Li 2.43
Li 0.6903 0.3097 0.2500  4 Cl 2.40-2.43
Cl 0.6171 0.7512 0.9241  1 Li 2.43
Cl 0.9120 0.0880 0.7500  2 Pr 2.79
Cl 0.6853 0.0823 0.3762  1 Li 2.40

=====

Record 7
First-principles (PBE) data for LaPr6Dy2Th after structural relaxation, as listed in Alexandria.

Summary:
Its space group is C2/c. The calculation puts the energy of formation from the pure elements at 0.14 eV/atom.

Lattice parameters (Å, degrees): 9.9646 8.9502 8.9502 116.41 94.62 94.62
Closest atoms and distances in Å follow each position.
Positions (direct):
Pr 0.3796 0.5102 0.2995  3 Pr 3.36-3.49, 3 Dy 3.37-3.54, 2 La 3.50-3.67
Th 0.2500 0.9703 0.0297  4 Dy 3.42-3.46, 4 Pr 3.47-3.64
Pr 0.8796 0.2995 0.5102  3 Pr 3.36-3.49, 3 Dy 3.37-3.54, 2 La 3.50-3.67
La 0.2500 0.4033 0.5967  6 Pr 3.50-3.67, 2 Dy 3.63
Pr 0.6204 0.4898 0.7005  3 Pr 3.36-3.49, 3 Dy 3.37-3.54, 2 La 3.50-3.67
Pr 0.1204 0.7005 0.4898  3 Pr 3.36-3.49, 3 Dy 3.37-3.54, 2 La 3.50-3.67
Dy 0.0500 0.2829 0.1941  6 Pr 3.37-3.76, 2 Th 3.42-3.46, 1 La 3.63
Pr 0.3165 0.9831 0.4221  2 Pr 3.37-3.75, 1 Th 3.47, 1 La 3.52, 1 Dy 3.52
Pr 0.6835 0.0169 0.5779  2 Pr 3.37-3.75, 1 Th 3.47, 1 La 3.52, 1 Dy 3.52
La 0.7500 0.5967 0.4033  6 Pr 3.50-3.67, 2 Dy 3.63
Dy 0.4500 0.8059 0.7171  6 Pr 3.37-3.76, 2 Th 3.42-3.46, 1 La 3.63
Pr 0.1835 0.5779 0.0169  2 Pr 3.37-3.75, 1 Th 3.47, 1 La 3.52, 1 Dy 3.52
Pr 0.0575 0.1050 0.7588  6 Pr 3.49-3.85, 2 Dy 3.50-3.76, 2 Th 3.64-3.89
Pr 0.8165 0.4221 0.9831  2 Pr 3.37-3.75, 1 Th 3.47, 1 La 3.52, 1 Dy 3.52
Th 0.7500 0.0297 0.9703  4 Dy 3.42-3.46, 4 Pr 3.47-3.64
Pr 0.4425 0.2412 0.8950  6 Pr 3.49-3.85, 2 Dy 3.50-3.76, 2 Th 3.64-3.89
Pr 0.9425 0.8950 0.2412  6 Pr 3.49-3.85, 2 Dy 3.50-3.76, 2 Th 3.64-3.89
Dy 0.9500 0.7171 0.8059  6 Pr 3.37-3.76, 2 Th 3.42-3.46, 1 La 3.63
Pr 0.5575 0.7588 0.1050  6 Pr 3.49-3.85, 2 Dy 3.50-3.76, 2 Th 3.64-3.89
Dy 0.5500 0.1941 0.2829  6 Pr 3.37-3.76, 2 Th 3.42-3.46, 1 La 3.63

=====

no.,M_tot (μB per cell),uncorrected energy (eV per atom)
1,7.0,-4.879
2,0.0,-2.832
3,0.0,-3.009
4,1.7,-7.826
5,0.0,-4.699
6,0.0,-4.130
7,0.0,-4.886